Entry 1:
TaRu2Cl (GGA-PBE, optimized geometry); excess energy over the best structure of this formula in the dataset = 1.46 eV per formula unit; raw total energy = -7.612 eV per atom
1.0
-1.640 -1.686 1.741
-2.314 -1.615 -3.744
2.951 -3.288 -0.405
Ru Cl Ta
2 1 1
Direct
0.000 0.000 0.000
0.500 0.500 0.000
0.000 0.500 0.500
0.500 0.000 0.500

Entry 2:
Ta2RuCl (GGA-PBE, optimized geometry); excess energy over the best structure of this formula in the dataset = 0.59 eV per formula unit; raw total energy = -8.672 eV per atom
1.0
-0.733 -1.075 2.640
2.833 -0.419 -0.676
2.133 8.118 3.899
Ta Cl Ru
2 1 1
Direct
0.500 0.500 0.253
0.000 0.000 0.996
0.000 0.000 0.464
0.500 0.500 0.788

Entry 3:
Ta2RuCl (GGA-PBE, optimized geometry); excess energy over the best structure of this formula in the dataset = 0.00 eV per formula unit; raw total energy = -8.819 eV per atom
1.0
9.249 0.022 0.013
8.717 3.093 0.013
8.717 1.511 2.698
Ru Cl Ta
1 1 2
Direct
0.734 0.734 0.734
0.516 0.516 0.516
0.247 0.247 0.247
0.003 0.003 0.003

Entry 4:
TaRuCl2 (GGA-PBE, optimized geometry); excess energy over the best structure of this formula in the dataset = 3.57 eV per formula unit; raw total energy = -5.797 eV per atom
1.0
4.410 0.013 0.000
-1.425 4.173 0.000
-1.492 -2.093 3.583
Ru Cl Ta
1 2 1
Direct
0.500 0.500 0.000
0.000 0.000 0.000
0.250 0.750 0.500
0.750 0.250 0.500

E_form (uncorrected), respectively: 451.0; 35.3; -111.6; 408.1 meV/atom.